First-principles (PBE) data for an optimized crystal structure of Pu2TePt, as listed in Alexandria via LeMat-Bulk.

Summary:
Distance to the lowest polymorph of the same formula ... 0.8 kJ/mol of atoms
N(E_F) ... 21.25 states/eV/f.u.

```
data_Pu2TePt
_symmetry_space_group_name_H-M 'C m c m'
_symmetry_Int_Tables_number 63
_symmetry_space_group_name_Hall '-C 2c 2'
_cell_length_a 4.155
_cell_length_b 23.277
_cell_length_c 4.395
_cell_angle_alpha 90.00
_cell_angle_beta 90.00
_cell_angle_gamma 90.00
loop_
_atom_site_label
_atom_site_type_symbol
_atom_site_fract_x
_atom_site_fract_y
_atom_site_fract_z
Pu1 Pu 0.000 0.057 0.250
Pu2 Pu 0.000 0.333 0.250
Te1 Te 0.000 0.194 0.250
Pt1 Pt 0.000 0.457 0.250
```